The following is a DFT calculation (PBE) of Hf2ZrPtCl after structural relaxation.

Cell: 4.702 4.667 4.702 Å, 90.00 90.00 90.00°
Element x y z (fractional)
Hf 0.500 0.000 0.000
Hf 0.000 0.000 0.500
Zr 0.500 0.500 0.500
Pt 0.000 0.500 0.000
Cl 0.000 0.000 0.000

Results
SG   P4/mmm, No. 123
Calculated volume   20.64 Å³ per atom
Uncorrected energy   -7.16 eV per atom
Crystal system   tetragonal